# KCdGa2Sb GGA-PBE relaxed
data_KCdGa2Sb
_chemical_formula_sum 'K2 Cd2 Ga4 Sb2'
_cell_length_a 4.8166
_cell_length_b 4.9657
_cell_length_c 11.4349
_cell_angle_alpha 90.00
_cell_angle_beta 90.00
_cell_angle_gamma 90.00
_symmetry_space_group_name_H-M 'I m m 2'
_symmetry_Int_Tables_number 44
_symmetry_space_group_name_Hall 'I 2 -2'
loop_
_atom_site_label
_atom_site_fract_x
_atom_site_fract_y
_atom_site_fract_z
K1 0.0000 0.0000 0.0000
Cd1 0.0000 0.5000 0.7578
Ga1 0.0000 0.0000 0.3679
Ga2 0.0000 0.5000 0.2631
Sb1 0.0000 0.0000 0.6086
# Uncorrected formation energy (meV per atom): -191